Entry 1:
Density functional theory data (PBE-GGA) for crystalline TiZn3Ir at its relaxed geometry.

Results
Crystal system: cubic
Mass density in g/cm³: 7.035
ΔE to the lowest computed polymorph in eV per formula unit: 4.207

Cell lengths 4.6874, 4.6874, 4.6874 Å; angles 90.00, 90.00, 90.00 degrees
Closest atoms and distances in Å follow each position.
Element x y z (fractional)
Zn 0.0000 0.5000 0.0000  2 Ir 2.34
Ir 0.0000 0.0000 0.0000  6 Zn 2.34
Zn 0.0000 0.0000 0.5000  2 Ir 2.34
Ti 0.5000 0.5000 0.5000  12 Zn 3.31
Zn 0.5000 0.0000 0.0000  2 Ir 2.34

---

Entry 2:
Density functional theory data (PBE-GGA) for crystalline Pm2CdPd8 at its relaxed geometry.

Results
Crystal system: monoclinic
Mass density in g/cm³: 10.372

Cell lengths 4.2845, 6.6550, 7.7032 Å; angles 107.20, 106.15, 90.00 degrees
Closest atoms and distances in Å follow each position.
Element x y z (fractional)
Pd 0.8588 0.8268 0.7176  7 Pd 2.87-3.05, 2 Cd 2.97, 3 Pm 2.98-3.12
Pd 0.4120 0.5576 0.8240  8 Pd 2.80-3.11, 1 Cd 2.83, 2 Pm 2.93
Pm 0.7852 0.3343 0.5704  9 Pd 2.83-3.12
Pd 0.1412 0.1732 0.2824  7 Pd 2.87-3.05, 2 Cd 2.97, 3 Pm 2.98-3.12
Pd 0.0334 0.7233 0.0668  9 Pd 2.80-3.11, 1 Pm 2.83, 2 Cd 2.96
Pd 0.5880 0.4424 0.1760  8 Pd 2.80-3.11, 1 Cd 2.83, 2 Pm 2.93
Cd 0.5000 0.0000 0.0000  12 Pd 2.78-2.97
Pm 0.2148 0.6657 0.4296  9 Pd 2.83-3.12
Pd 0.3316 0.1017 0.6632  1 Cd 2.78, 3 Pm 2.85-2.88, 6 Pd 2.90-3.00
Pd 0.9666 0.2767 0.9332  9 Pd 2.80-3.11, 1 Pm 2.83, 2 Cd 2.96
Pd 0.6684 0.8983 0.3368  1 Cd 2.78, 3 Pm 2.85-2.88, 6 Pd 2.90-3.00

---

Number 1: formation energy 0.53 eV per atom. Number 2: formation energy -0.51 eV per atom.